# 1
CaBiSN2 | PBE | optimized geometry

The structure in CIF format:
```
data_CaBiSN2
_cell_length_a 4.3130
_cell_length_b 4.3130
_cell_length_c 5.4867
_cell_angle_alpha 90.00
_cell_angle_beta 90.00
_cell_angle_gamma 90.00
_symmetry_space_group_name_H-M 'P 4/m m m'
_symmetry_Int_Tables_number 123
_symmetry_space_group_name_Hall '-P 4 2'
loop_
_atom_site_label
_atom_site_fract_x
_atom_site_fract_y
_atom_site_fract_z
Ca1 0.0000 0.0000 0.0000
Bi1 0.5000 0.5000 0.5000
S1 0.5000 0.5000 0.0000
N1 0.0000 0.5000 0.5000
```

* crystal system: tetragonal
* E above lowest polymorph: 0 meV per atom
* N(E_F): 2.42 states/eV per cell

# 2
CaBiSN2 | PBE | optimized geometry

The structure in CIF format:
```
data_CaBiSN2
_cell_length_a 4.4701
_cell_length_b 4.4701
_cell_length_c 5.3399
_cell_angle_alpha 90.00
_cell_angle_beta 90.00
_cell_angle_gamma 90.00
_symmetry_space_group_name_H-M 'P 4/m m m'
_symmetry_Int_Tables_number 123
_symmetry_space_group_name_Hall '-P 4 2'
loop_
_atom_site_label
_atom_site_fract_x
_atom_site_fract_y
_atom_site_fract_z
Ca1 0.0000 0.0000 0.0000
Bi1 0.5000 0.5000 0.5000
S1 0.0000 0.0000 0.5000
N1 0.0000 0.5000 0.0000
```

* crystal system: tetragonal
* E above lowest polymorph: 502 meV per atom
* N(E_F): 1.95 states/eV per cell

# 3
Ca2BiSbN | PBE | optimized geometry

The structure in CIF format:
```
data_Ca2BiSbN
_cell_length_a 4.9259
_cell_length_b 4.9259
_cell_length_c 4.9383
_cell_angle_alpha 90.00
_cell_angle_beta 90.00
_cell_angle_gamma 90.00
_symmetry_space_group_name_H-M 'P 4/m m m'
_symmetry_Int_Tables_number 123
_symmetry_space_group_name_Hall '-P 4 2'
loop_
_atom_site_label
_atom_site_fract_x
_atom_site_fract_y
_atom_site_fract_z
Ca1 0.0000 0.5000 0.0000
Bi1 0.0000 0.0000 0.5000
Sb1 0.5000 0.5000 0.5000
N1 0.0000 0.0000 0.0000
```

* E: -23.3 eV/f.u.
* crystal system: tetragonal
* N(E_F): 2.10 states/eV per cell

# 4
Ca2ScBiN | PBE | optimized geometry

The structure in CIF format:
```
data_Ca2ScBiN
_cell_length_a 4.9879
_cell_length_b 4.9879
_cell_length_c 4.4461
_cell_angle_alpha 90.00
_cell_angle_beta 90.00
_cell_angle_gamma 90.00
_symmetry_space_group_name_H-M 'P 4/m m m'
_symmetry_Int_Tables_number 123
_symmetry_space_group_name_Hall '-P 4 2'
loop_
_atom_site_label
_atom_site_fract_x
_atom_site_fract_y
_atom_site_fract_z
Ca1 0.0000 0.5000 0.0000
Sc1 0.0000 0.0000 0.5000
Bi1 0.5000 0.5000 0.5000
N1 0.0000 0.0000 0.0000
```

* E: -27.3 eV/f.u.
* crystal system: tetragonal
* N(E_F): 3.22 states/eV per cell

# 5
CaBiSe2N | PBE | optimized geometry

The structure in CIF format:
```
data_CaBiSe2N
_cell_length_a 5.5232
_cell_length_b 5.5232
_cell_length_c 4.3925
_cell_angle_alpha 90.00
_cell_angle_beta 90.00
_cell_angle_gamma 90.00
_symmetry_space_group_name_H-M 'P 4/m m m'
_symmetry_Int_Tables_number 123
_symmetry_space_group_name_Hall '-P 4 2'
loop_
_atom_site_label
_atom_site_fract_x
_atom_site_fract_y
_atom_site_fract_z
Ca1 0.0000 0.0000 0.0000
Bi1 0.5000 0.5000 0.5000
Se1 0.0000 0.5000 0.0000
N1 0.0000 0.0000 0.5000
```

* crystal system: tetragonal
* E above lowest polymorph: 288 meV per atom
* N(E_F): 1.05 states/eV per cell

# 6
Ca4BiSeN | PBE | optimized geometry

The structure in CIF format:
```
data_Ca4BiSeN
_cell_length_a 6.7432
_cell_length_b 15.7757
_cell_length_c 6.7684
_cell_angle_alpha 90.00
_cell_angle_beta 90.00
_cell_angle_gamma 90.00
_symmetry_space_group_name_H-M 'C m c m'
_symmetry_Int_Tables_number 63
_symmetry_space_group_name_Hall '-C 2c 2'
loop_
_atom_site_label
_atom_site_fract_x
_atom_site_fract_y
_atom_site_fract_z
Ca1 0.0000 0.0903 0.2500
Ca2 0.0000 0.4043 0.2500
Ca3 0.2500 0.2500 0.0000
Bi1 0.0000 0.3961 0.7500
Se1 0.0000 0.1125 0.7500
N1 0.0000 0.2470 0.2500
```

* E: -32.3 eV/f.u.
* crystal system: orthorhombic

# 7
Ca12Bi4SeN3 | PBE | optimized geometry

The structure in CIF format:
```
data_Ca12Bi4SeN3
_cell_length_a 10.1378
_cell_length_b 10.1378
_cell_length_c 10.1378
_cell_angle_alpha 90.00
_cell_angle_beta 90.00
_cell_angle_gamma 90.00
_symmetry_space_group_name_H-M 'I m -3 m'
_symmetry_Int_Tables_number 229
_symmetry_space_group_name_Hall '-I 4 2 3'
loop_
_atom_site_label
_atom_site_fract_x
_atom_site_fract_y
_atom_site_fract_z
Ca1 0.0000 0.0000 0.2733
Ca2 0.0000 0.2500 0.5000
Bi1 0.2500 0.2500 0.2500
Se1 0.0000 0.0000 0.0000
N1 0.0000 0.0000 0.5000
```

* E: -88.8 eV/f.u.
* crystal system: cubic
* N(E_F): 5.11 states/eV per cell

# 8
Ca2BiSeN | PBE | optimized geometry

The structure in CIF format:
```
data_Ca2BiSeN
_cell_length_a 5.7595
_cell_length_b 5.7595
_cell_length_c 3.8882
_cell_angle_alpha 90.00
_cell_angle_beta 90.00
_cell_angle_gamma 90.00
_symmetry_space_group_name_H-M 'P 4/m m m'
_symmetry_Int_Tables_number 123
_symmetry_space_group_name_Hall '-P 4 2'
loop_
_atom_site_label
_atom_site_fract_x
_atom_site_fract_y
_atom_site_fract_z
Ca1 0.0000 0.5000 0.0000
Bi1 0.0000 0.0000 0.5000
Se1 0.5000 0.5000 0.0000
N1 0.5000 0.5000 0.5000
```

* E: -20.6 eV/f.u.
* crystal system: tetragonal
* N(E_F): 2.64 states/eV per cell

# 9
CaBiSe2N | PBE | optimized geometry

The structure in CIF format:
```
data_CaBiSe2N
_cell_length_a 5.5658
_cell_length_b 5.5658
_cell_length_c 4.3755
_cell_angle_alpha 90.00
_cell_angle_beta 90.00
_cell_angle_gamma 90.00
_symmetry_space_group_name_H-M 'P 4/m m m'
_symmetry_Int_Tables_number 123
_symmetry_space_group_name_Hall '-P 4 2'
loop_
_atom_site_label
_atom_site_fract_x
_atom_site_fract_y
_atom_site_fract_z
Ca1 0.0000 0.0000 0.0000
Bi1 0.5000 0.5000 0.5000
Se1 0.0000 0.5000 0.5000
N1 0.5000 0.5000 0.0000
```

* crystal system: tetragonal
* E above lowest polymorph: 0 meV per atom
* N(E_F): 3.02 states/eV per cell

# 10
CaSi2BiN | PBE | optimized geometry

The structure in CIF format:
```
data_CaSi2BiN
_cell_length_a 4.3593
_cell_length_b 4.3593
_cell_length_c 5.0434
_cell_angle_alpha 90.00
_cell_angle_beta 90.00
_cell_angle_gamma 90.00
_symmetry_space_group_name_H-M 'P 4/m m m'
_symmetry_Int_Tables_number 123
_symmetry_space_group_name_Hall '-P 4 2'
loop_
_atom_site_label
_atom_site_fract_x
_atom_site_fract_y
_atom_site_fract_z
Ca1 0.0000 0.0000 0.0000
Si1 0.0000 0.5000 0.5000
Bi1 0.5000 0.5000 0.0000
N1 0.5000 0.5000 0.5000
```

* E: -22.9 eV/f.u.
* crystal system: tetragonal
* N(E_F): 2.04 states/eV per cell

# 11
Ca2SnBiN | PBE | optimized geometry

The structure in CIF format:
```
data_Ca2SnBiN
_cell_length_a 4.9668
_cell_length_b 4.9668
_cell_length_c 4.7775
_cell_angle_alpha 90.00
_cell_angle_beta 90.00
_cell_angle_gamma 90.00
_symmetry_space_group_name_H-M 'P 4/m m m'
_symmetry_Int_Tables_number 123
_symmetry_space_group_name_Hall '-P 4 2'
loop_
_atom_site_label
_atom_site_fract_x
_atom_site_fract_y
_atom_site_fract_z
Ca1 0.0000 0.5000 0.0000
Sn1 0.0000 0.0000 0.5000
Bi1 0.5000 0.5000 0.5000
N1 0.0000 0.0000 0.0000
```

* E: -23.3 eV/f.u.
* crystal system: tetragonal
* N(E_F): 0.53 states/eV per cell

# 12
Sr2CaBiN | PBE | optimized geometry

The structure in CIF format:
```
data_Sr2CaBiN
_cell_length_a 5.2590
_cell_length_b 5.2590
_cell_length_c 4.9500
_cell_angle_alpha 90.00
_cell_angle_beta 90.00
_cell_angle_gamma 90.00
_symmetry_space_group_name_H-M 'P 4/m m m'
_symmetry_Int_Tables_number 123
_symmetry_space_group_name_Hall '-P 4 2'
loop_
_atom_site_label
_atom_site_fract_x
_atom_site_fract_y
_atom_site_fract_z
Sr1 0.0000 0.5000 0.0000
Ca1 0.0000 0.0000 0.5000
Bi1 0.5000 0.5000 0.5000
N1 0.0000 0.0000 0.0000
```

* E: -22.1 eV/f.u.
* crystal system: tetragonal
* N(E_F): 0.11 states/eV per cell